No. 1
First-principles (PBE) data for a relaxed structure of CsSi3Tc, as listed in Alexandria via LeMat-Bulk.

Lattice parameters (Å, degrees): 5.1989 5.1989 5.1989 90.00 90.00 90.00
Fractional coordinates of all 5 atoms:
Tc 0.5000 0.5000 0.5000
Si 0.0000 0.5000 0.0000
Si 0.0000 0.0000 0.5000
Si 0.5000 0.0000 0.0000
Cs 0.0000 0.0000 0.0000

Values from the calculation:
distance to the lowest polymorph of the same formula = 2825.6 meV/atom
space-group type = Pm-3m
ΔE_f (raw) = 3.1249 eV per atom



No. 2
First-principles (PBE) data for a relaxed structure of MnNbSe2, as listed in Alexandria via LeMat-Bulk.

Lattice parameters (Å, degrees): 4.4402 4.4402 4.4402 60.00 60.00 60.00
Fractional coordinates of all 4 atoms:
Se 0.7500 0.7500 0.7500
Se 0.2500 0.2500 0.2500
Nb 0.5000 0.5000 0.5000
Mn 0.0000 0.0000 0.0000

Values from the calculation:
distance to the lowest polymorph of the same formula = 282.8 meV/atom
space-group type = Fm-3m
ΔE_f (raw) = -0.0106 eV per atom



No. 3
First-principles (PBE) data for a relaxed structure of Li2ZnAg5, as listed in Alexandria via LeMat-Bulk.

Lattice parameters (Å, degrees): 7.0420 7.0420 7.2867 118.90 118.90 90.00
Fractional coordinates of all 16 atoms:
Ag 0.3060 0.8060 0.3095
Ag 0.0035 0.5035 0.3095
Ag 0.0000 0.0000 0.0000
Ag 0.9965 0.4965 0.6905
Ag 0.5035 0.3060 0.3095
Ag 0.8060 0.0035 0.3095
Ag 0.1940 0.9965 0.6905
Ag 0.6940 0.1940 0.6905
Ag 0.5000 0.5000 0.0000
Ag 0.4965 0.6940 0.6905
Li 0.6463 0.1463 0.0000
Li 0.1463 0.3537 0.0000
Li 0.8537 0.6463 0.0000
Li 0.3537 0.8537 0.0000
Zn 0.2500 0.2500 0.5000
Zn 0.7500 0.7500 0.5000

Values from the calculation:
distance to the lowest polymorph of the same formula = 75.4 meV/atom
space-group type = I4/mcm
energy relative to the elements = -0.07 eV per atom



No. 4
First-principles (PBE) data for a relaxed structure of RbRuSeBr2, as listed in Alexandria via LeMat-Bulk.

Lattice parameters (Å, degrees): 5.4868 5.4868 4.6742 90.00 90.00 90.00
Fractional coordinates of all 5 atoms:
Ru 0.0000 0.0000 0.0000
Br 0.5000 0.0000 0.0000
Br 0.0000 0.5000 0.0000
Se 0.0000 0.0000 0.5000
Rb 0.5000 0.5000 0.5000

Values from the calculation:
distance to the lowest polymorph of the same formula = 0.0 meV/atom
space-group type = P4/mmm
ΔE_f (raw) = -0.5217 eV per atom



No. 5
First-principles (PBE) data for a relaxed structure of Zr2CrPd9, as listed in Alexandria via LeMat-Bulk.

Lattice parameters (Å, degrees): 4.0040 4.0040 11.9602 90.00 90.00 90.00
Fractional coordinates of all 12 atoms:
Zr 0.0000 0.0000 0.3276
Zr 0.0000 0.0000 0.6724
Pd 0.0000 0.5000 0.1633
Pd 0.5000 0.5000 0.3320
Pd 0.0000 0.5000 0.5000
Pd 0.5000 0.0000 0.1633
Pd 0.5000 0.5000 0.6680
Pd 0.0000 0.5000 0.8367
Pd 0.5000 0.0000 0.5000
Pd 0.5000 0.5000 0.0000
Pd 0.5000 0.0000 0.8367
Cr 0.0000 0.0000 0.0000

Values from the calculation:
space-group type = P4/mmm
energy relative to the elements = -0.57 eV per atom



No. 6
First-principles (PBE) data for a relaxed structure of CsBeRh3, as listed in Alexandria via LeMat-Bulk.

Lattice parameters (Å, degrees): 4.9064 4.9064 4.9064 90.00 90.00 90.00
Fractional coordinates of all 5 atoms:
Rh 0.5000 0.0000 0.0000
Rh 0.0000 0.0000 0.5000
Rh 0.0000 0.5000 0.0000
Be 0.5000 0.5000 0.5000
Cs 0.0000 0.0000 0.0000

Values from the calculation:
distance to the lowest polymorph of the same formula = 1714.3 meV/atom
space-group type = Pm-3m
energy relative to the elements = 2.40 eV per atom



Magnetic moment readings, ordered: 0.104, 0.000, 0.000, 0.000, 2.933, 0.000 Bohr magnetons per cell